# 1
Entry from the Alexandria database: crystalline AlPb2Br at its relaxed geometry (GGA-PBE).

Cell: 7.2727 7.2727 5.0609 Å, 69.61 69.61 27.54°
With the nearest neighbours (Å) after each atom.
Fractional coordinates of all 4 atoms:
Pb (0.0541, 0.0541, 0.9458)  2 Al 3.11, 6 Pb 3.38-3.46
Pb (0.4459, 0.4459, 0.5542)  2 Al 3.11, 6 Pb 3.38-3.46
Al (0.7500, 0.7500, 0.7500)  4 Br 3.07, 4 Pb 3.11
Br (0.2500, 0.2500, 0.2500)  4 Al 3.07

Computed properties:
size of the total moment = 0.00 μB/f.u.
ρ = 7.49 g/cm3
excess energy over the best structure of this formula in the dataset = 0.042 eV/atom
energy = -12.958 eV/cell
energy relative to the elements, uncorrected = -31 meV per atom

---

# 2
Entry from the Alexandria database: crystalline AlPbBr at its relaxed geometry (GGA-PBE).

Cell: 3.5632 3.5632 7.7588 Å, 90.00 90.00 120.00°
With the nearest neighbours (Å) after each atom.
Fractional coordinates of all 3 atoms:
Pb (0.3333, 0.6667, 0.7365)  3 Al 3.00
Al (0.0000, 0.0000, 0.0176)  3 Br 2.71, 3 Pb 3.00
Br (0.6667, 0.3333, 0.2459)  3 Al 2.71

Computed properties:
size of the total moment = 0.00 μB/f.u.
ρ = 6.11 g/cm3
excess energy over the best structure of this formula in the dataset = 0.000 eV/atom
energy = -9.754 eV/cell
energy relative to the elements, uncorrected = -210 meV per atom

---

# 3
Entry from the Alexandria database: crystalline AlPbBr2 at its relaxed geometry (GGA-PBE).

Cell: 7.0287 7.0287 3.5095 Å, 59.87 59.87 75.04°
With the nearest neighbours (Å) after each atom.
Fractional coordinates of all 4 atoms:
Pb (0.5000, 0.0000, 0.5000)  4 Br 3.04
Al (0.0000, 0.5000, 0.5000)  4 Br 3.04
Br (0.0000, 0.0000, 0.0000)  2 Pb 3.04, 2 Al 3.04
Br (0.5000, 0.5000, 0.0000)  2 Al 3.04, 2 Pb 3.04

Computed properties:
size of the total moment = 0.00 μB/f.u.
ρ = 5.04 g/cm3
excess energy over the best structure of this formula in the dataset = 0.137 eV/atom
energy = -11.804 eV/cell
energy relative to the elements, uncorrected = -252 meV per atom

---

# 4
Entry from the Alexandria database: crystalline AlPb2Br at its relaxed geometry (GGA-PBE).

Cell: 5.8364 3.5415 5.9058 Å, 75.44 90.00 90.00°
With the nearest neighbours (Å) after each atom.
Fractional coordinates of all 4 atoms:
Pb (0.0000, 0.8939, 0.0940)  3 Al 3.07-3.25, 2 Pb 3.40
Pb (0.5000, 0.3593, 0.1470)  2 Br 2.97-3.22
Al (0.0000, 0.6196, 0.6306)  2 Br 2.92, 3 Pb 3.07-3.25
Br (0.5000, 0.6272, 0.6285)  2 Al 2.92, 2 Pb 2.97-3.22

Computed properties:
size of the total moment = 0.00 μB/f.u.
ρ = 7.33 g/cm3
excess energy over the best structure of this formula in the dataset = 0.041 eV/atom
energy = -12.962 eV/cell
energy relative to the elements, uncorrected = -32 meV per atom

---

# 5
Entry from the Alexandria database: crystalline AlPbBr2 at its relaxed geometry (GGA-PBE).

Cell: 8.3876 8.3876 6.8629 Å, 52.33 52.33 90.00°
With the nearest neighbours (Å) after each atom.
Fractional coordinates of all 8 atoms:
Pb (0.0000, 0.0000, 0.0000)  4 Br 3.14, 2 Al 3.45
Pb (0.7500, 0.2500, 0.5000)  4 Br 3.14, 2 Al 3.45
Al (0.5000, 0.5000, 0.0000)  4 Br 3.04
Al (0.2500, 0.7500, 0.5000)  4 Br 3.04
Br (0.6156, 0.1250, 0.2500)  2 Al 3.04, 2 Pb 3.14
Br (0.1344, 0.6250, 0.2500)  2 Al 3.04, 2 Pb 3.14
Br (0.3750, 0.3844, 0.7500)  2 Al 3.04, 2 Pb 3.14
Br (0.8750, 0.8656, 0.7500)  2 Al 3.04, 2 Pb 3.14

Computed properties:
size of the total moment = 0.00 μB/f.u.
ρ = 5.39 g/cm3
excess energy over the best structure of this formula in the dataset = 0.163 eV/atom
energy = -23.399 eV/cell
energy relative to the elements, uncorrected = -226 meV per atom

---

# 6
Entry from the Alexandria database: crystalline AlPb2Br at its relaxed geometry (GGA-PBE).

Cell: 5.3856 5.3856 5.3856 Å, 60.00 60.00 60.00°
With the nearest neighbours (Å) after each atom.
Fractional coordinates of all 4 atoms:
Pb (0.2500, 0.2500, 0.2500)  4 Br 3.30, 4 Al 3.30
Pb (0.7500, 0.7500, 0.7500)  4 Br 3.30, 4 Al 3.30
Al (0.0000, 0.0000, 0.0000)  8 Pb 3.30
Br (0.5000, 0.5000, 0.5000)  8 Pb 3.30

Computed properties:
size of the total moment = 0.00 μB/f.u.
ρ = 7.84 g/cm3
excess energy over the best structure of this formula in the dataset = 0.166 eV/atom
energy = -12.462 eV/cell
energy relative to the elements, uncorrected = 93 meV per atom

---

# 7
Entry from the Alexandria database: crystalline AlPb2Br at its relaxed geometry (GGA-PBE).

Cell: 8.0369 8.0369 8.0369 Å, 31.30 31.30 31.30°
With the nearest neighbours (Å) after each atom.
Fractional coordinates of all 4 atoms:
Pb (0.9830, 0.9830, 0.9830)  3 Al 2.93
Pb (0.5170, 0.5170, 0.5170)  3 Al 2.93
Al (0.2500, 0.2500, 0.2500)  6 Pb 2.93
Br (0.7500, 0.7500, 0.7500)  6 Pb 3.40

Computed properties:
size of the total moment = 0.00 μB/f.u.
ρ = 6.96 g/cm3
excess energy over the best structure of this formula in the dataset = 0.033 eV/atom
energy = -12.992 eV/cell
energy relative to the elements, uncorrected = -40 meV per atom

---

# 8
Entry from the Alexandria database: crystalline AlPbBr at its relaxed geometry (GGA-PBE).

Cell: 8.4183 8.0285 3.5365 Å, 83.84 71.48 24.69°
With the nearest neighbours (Å) after each atom.
Fractional coordinates of all 3 atoms:
Pb (0.6454, 0.6454, 0.3546)  2 Al 3.02
Al (0.9884, 0.9884, 0.0116)  2 Br 2.59
Br (0.3662, 0.3662, 0.6338)  2 Al 2.59

Computed properties:
size of the total moment = 0.00 μB/f.u.
ρ = 6.20 g/cm3
excess energy over the best structure of this formula in the dataset = 0.108 eV/atom
energy = -9.430 eV/cell
energy relative to the elements, uncorrected = -102 meV per atom